{
  "formula": "Co2O",
  "functional": "PBE with a Hubbard U",
  "state": "optimized geometry",
  "cell": [[5.010, 0.000, 0.402], [0.000, 2.949, 0.000], [-2.046, 0.000, 4.597]],
  "species": ["Co", "Co", "Co", "Co", "O", "O"],
  "frac_coords": [[0.754, 0.500, 0.754], [0.246, 0.500, 0.246], [0.821, 0.000, 0.178], [0.179, 0.000, 0.822], [0.336, 0.500, 0.663], [0.664, 0.500, 0.337]],
  "m_tot_mub_per_atom": 1.577,
  "total_energy_ev_per_atom": -5.226,
  "sg": "Cmmm"
}